## DyLu2Fe (PBE-GGA)

Data for a relaxed DyLu2Fe crystal.

Computed properties:
- energy of formation from the pure elements (eV per atom) = 0.02
- M_tot (μB/f.u.) = 0.0
- theoretical density (Mg/m³) = 9.89

```
data_DyLu2Fe
_chemical_formula_sum 'Dy1 Lu2 Fe1'
_space_group_name_H-M_alt 'P 4/m m m'
_space_group_IT_number 123
_space_group_name_Hall '-P 4 2'
_cell_length_a 3.2922
_cell_length_b 3.2922
_cell_length_c 8.8007
_cell_angle_alpha 90.00
_cell_angle_beta 90.00
_cell_angle_gamma 90.00
loop_
_atom_site_label
_atom_site_fract_x
_atom_site_fract_y
_atom_site_fract_z
_atom_site_occupancy
Dy1 0.0000 0.0000 0.0000 1
Lu1 0.5000 0.5000 0.3219 1
Fe1 0.0000 0.0000 0.5000 1
```